Record 1
The following is a DFT calculation (PBEsol) of RbCaBr3 after structural relaxation.

Calculated values
E_tot: -3.69 eV per atom
DOS at the Fermi energy: 0.00 states/eV/f.u.
Calculated volume: 32.7 Å³ per atom
SG: Pnma, No. 62
Raw formation energy: -1941 meV per atom

Lattice parameters (Å, degrees): 4.3360 9.4531 15.9535 90.00 90.00 90.00
Fractional coordinates of all 20 atoms:
Br (0.2500, 0.2045, 0.7855)
Br (0.7500, 0.7955, 0.2145)
Br (0.7500, 0.0222, 0.6034)
Br (0.7500, 0.1634, 0.0087)
Rb (0.7500, 0.4259, 0.6778)
Rb (0.2500, 0.5741, 0.3222)
Ca (0.7500, 0.6695, 0.0569)
Br (0.2500, 0.4778, 0.1034)
Br (0.7500, 0.5222, 0.8966)
Br (0.2500, 0.8366, 0.9913)
Br (0.2500, 0.3366, 0.5087)
Br (0.2500, 0.7045, 0.7145)
Ca (0.7500, 0.1695, 0.4431)
Rb (0.2500, 0.0741, 0.1778)
Br (0.7500, 0.2955, 0.2855)
Ca (0.2500, 0.8305, 0.5569)
Br (0.2500, 0.9778, 0.3966)
Rb (0.7500, 0.9259, 0.8222)
Br (0.7500, 0.6634, 0.4913)
Ca (0.2500, 0.3305, 0.9431)

Record 2
The following is a DFT calculation (PBEsol) of RbCaBr3 after structural relaxation.

Calculated values
E_tot: -3.66 eV per atom
DOS at the Fermi energy: 0.00 states/eV/f.u.
Calculated volume: 35.5 Å³ per atom
SG: Pm-3m, No. 221
Raw formation energy: -1910 meV per atom

Lattice parameters (Å, degrees): 5.6198 5.6198 5.6198 90.00 90.00 90.00
Fractional coordinates of all 5 atoms:
Br (0.0000, 0.5000, 0.5000)
Br (0.5000, 0.5000, 0.0000)
Ca (0.5000, 0.5000, 0.5000)
Rb (0.0000, 0.0000, 0.0000)
Br (0.5000, 0.0000, 0.5000)

Record 3
The following is a DFT calculation (PBEsol) of Rb2CaTlBr after structural relaxation.

Calculated values
E_tot: -1.99 eV per atom
DOS at the Fermi energy: 3.33 states/eV/f.u.
Calculated volume: 53.9 Å³ per atom
SG: P4/mmm, No. 123
Raw formation energy: -252 meV per atom

Lattice parameters (Å, degrees): 6.0284 6.6845 6.6845 90.00 90.00 90.00
Fractional coordinates of all 5 atoms:
Br (0.5000, 0.5000, 0.5000)
Rb (0.0000, 0.0000, 0.5000)
Rb (0.0000, 0.5000, 0.0000)
Ca (0.5000, 0.0000, 0.0000)
Tl (0.0000, 0.0000, 0.0000)

Record 4
The following is a DFT calculation (PBEsol) of CaReBr3 after structural relaxation.

Calculated values
E_tot: -4.18 eV per atom
DOS at the Fermi energy: 4.41 states/eV/f.u.
Calculated volume: 25.7 Å³ per atom
SG: Pm-3m, No. 221
Raw formation energy: 31 meV per atom

Lattice parameters (Å, degrees): 5.0472 5.0472 5.0472 90.00 90.00 90.00
Last column: magnetic moment on the atom in μB.
Fractional coordinates of all 5 atoms:
Br (0.5000, 0.0000, 0.0000)  0.03
Br (0.0000, 0.5000, 0.0000)  0.03
Re (0.0000, 0.0000, 0.0000)  1.30
Ca (0.5000, 0.5000, 0.5000)  0.00
Br (0.0000, 0.0000, 0.5000)  0.03

Record 5
The following is a DFT calculation (PBEsol) of CaReBr after structural relaxation.

Calculated values
E_tot: -4.65 eV per atom
DOS at the Fermi energy: 1.18 states/eV/f.u.
Calculated volume: 21.8 Å³ per atom
SG: F-43m, No. 216
Raw formation energy: 1132 meV per atom

Lattice parameters (Å, degrees): 4.5233 4.5233 4.5233 60.00 60.00 60.00
Last column: magnetic moment on the atom in μB.
Fractional coordinates of all 3 atoms:
Ca (0.0000, 0.0000, 0.0000)  0.01
Br (0.2500, 0.2500, 0.2500)  0.05
Re (0.5000, 0.5000, 0.5000)  1.52

Record 6
The following is a DFT calculation (PBEsol) of CaZrRe2Br after structural relaxation.

Calculated values
E_tot: -6.21 eV per atom
DOS at the Fermi energy: 5.56 states/eV/f.u.
Calculated volume: 28.6 Å³ per atom
SG: P4/mmm, No. 123
Raw formation energy: 1743 meV per atom

Lattice parameters (Å, degrees): 4.7176 4.7176 6.4233 90.00 90.00 90.00
Last column: magnetic moment on the atom in μB.
Fractional coordinates of all 5 atoms:
Ca (0.0000, 0.0000, 0.5000)  -0.04
Re (0.0000, 0.5000, 0.0000)  1.07
Br (0.5000, 0.5000, 0.5000)  0.07
Re (0.5000, 0.0000, 0.0000)  1.07
Zr (0.0000, 0.0000, 0.0000)  -0.20

Record 7
The following is a DFT calculation (PBEsol) of CaZn2RhBr after structural relaxation.

Calculated values
E_tot: -3.41 eV per atom
DOS at the Fermi energy: 0.70 states/eV/f.u.
Calculated volume: 24.0 Å³ per atom
SG: P4/mmm, No. 123
Raw formation energy: -353 meV per atom

Lattice parameters (Å, degrees): 4.7000 4.7000 5.4395 90.00 90.00 90.00
Fractional coordinates of all 5 atoms:
Rh (0.0000, 0.0000, 0.0000)
Br (0.5000, 0.5000, 0.5000)
Zn (0.0000, 0.5000, 0.0000)
Zn (0.5000, 0.0000, 0.0000)
Ca (0.0000, 0.0000, 0.5000)

Record 8
The following is a DFT calculation (PBEsol) of Ca3RuBr after structural relaxation.

Calculated values
E_tot: -3.34 eV per atom
DOS at the Fermi energy: 3.93 states/eV/f.u.
Calculated volume: 29.8 Å³ per atom
SG: Pm-3m, No. 221
Raw formation energy: 345 meV per atom

Lattice parameters (Å, degrees): 5.3041 5.3041 5.3041 90.00 90.00 90.00
Last column: magnetic moment on the atom in μB.
Fractional coordinates of all 5 atoms:
Ca (0.0000, 0.0000, 0.5000)  -0.08
Ca (0.5000, 0.0000, 0.0000)  -0.08
Ca (0.0000, 0.5000, 0.0000)  -0.08
Ru (0.5000, 0.5000, 0.5000)  1.38
Br (0.0000, 0.0000, 0.0000)  -0.02